(1)
VASP calculation (PBE) on a relaxed Dy3Cu4Si2Ge2 crystal.

Values from the calculation:
- DFT total energy: -5.069 eV/atom
- Excess energy over the best structure of this formula in the dataset: 0.076 eV per formula unit

abc: 7.9439 7.9439 7.9439
angles: 149.43 130.89 58.96
Last column: nearest neighbours and their distance in Å.
Atoms (fractional coordinates):
Cu 0.6464 0.3369 0.3094  1 Si 2.40, 1 Cu 2.52, 3 Ge 2.55-2.64
Cu 0.9725 0.6631 0.3094  1 Si 2.40, 1 Cu 2.52, 3 Ge 2.55-2.64
Cu 0.0275 0.3369 0.6906  1 Si 2.40, 1 Cu 2.52, 3 Ge 2.55-2.64
Cu 0.3536 0.6631 0.6906  1 Si 2.40, 1 Cu 2.52, 3 Ge 2.55-2.64
Dy 0.0000 0.0000 0.0000  4 Si 2.96, 2 Ge 3.00
Dy 0.6297 0.1297 0.5000  6 Cu 2.96-3.13, 2 Ge 2.98, 4 Si 3.01
Dy 0.3703 0.8703 0.5000  6 Cu 2.96-3.13, 2 Ge 2.98, 4 Si 3.01
Ge 0.2166 0.2166 0.0000  6 Cu 2.55-2.64
Ge 0.7834 0.7834 0.0000  6 Cu 2.55-2.64
Si 0.6831 0.5000 0.1831  2 Cu 2.40, 1 Si 2.42
Si 0.3169 0.5000 0.8169  2 Cu 2.40, 1 Si 2.42

---

(2)
VASP calculation (PBE) on a relaxed DyCu2SiGe crystal.

Values from the calculation:
- DFT total energy: -4.962 eV/atom

abc: 5.8096 5.8096 5.8096
angles: 139.54 139.54 58.55
Last column: nearest neighbours and their distance in Å.
Atoms (fractional coordinates):
Cu 0.7458 0.2458 0.5000  2 Si 2.37, 2 Ge 2.45
Cu 0.2458 0.7458 0.5000  2 Si 2.37, 2 Ge 2.45
Dy 0.0019 0.0019 0.0000  4 Ge 3.08, 4 Si 3.09, 8 Cu 3.19-3.28
Ge 0.3849 0.3849 0.0000  1 Si 2.40, 4 Cu 2.45
Si 0.6215 0.6215 0.0000  4 Cu 2.37, 1 Ge 2.40